(1)
# TlGaN2O (PBE, relaxed)
data_TlGaN2O
_chemical_formula_sum 'Tl1 Ga1 N2 O1'
_space_group_name_H-M_alt 'P 4/m m m'
_space_group_IT_number 123
_space_group_name_Hall '-P 4 2'
_cell_length_a 4.513
_cell_length_b 4.513
_cell_length_c 4.377
_cell_angle_alpha 90.00
_cell_angle_beta 90.00
_cell_angle_gamma 90.00
loop_
_atom_site_label
_atom_site_type_symbol
_atom_site_fract_x
_atom_site_fract_y
_atom_site_fract_z
_atom_site_occupancy
Tl1 Tl 0.000 0.000 0.000 1
Ga1 Ga 0.500 0.500 0.500 1
N1 N 0.000 0.500 0.000 1
O1 O 0.000 0.000 0.500 1
# formation energy (no corrections): 1.57 eV/atom
# DOS at the Fermi energy: 2.30 states/eV per cell
# total DFT energy (no corrections): -3.826 eV per atom

=====

(2)
# TlGaN2O (PBE, relaxed)
data_TlGaN2O
_chemical_formula_sum 'Tl1 Ga1 N2 O1'
_space_group_name_H-M_alt 'P 4/m m m'
_space_group_IT_number 123
_space_group_name_Hall '-P 4 2'
_cell_length_a 4.071
_cell_length_b 4.071
_cell_length_c 3.977
_cell_angle_alpha 90.00
_cell_angle_beta 90.00
_cell_angle_gamma 90.00
loop_
_atom_site_label
_atom_site_type_symbol
_atom_site_fract_x
_atom_site_fract_y
_atom_site_fract_z
_atom_site_occupancy
Tl1 Tl 0.000 0.000 0.000 1
Ga1 Ga 0.500 0.500 0.500 1
N1 N 0.000 0.500 0.500 1
O1 O 0.500 0.500 0.000 1
# formation energy (no corrections): 0.80 eV/atom
# DOS at the Fermi energy: 3.06 states/eV per cell
# total DFT energy (no corrections): -4.602 eV per atom

=====

(3)
# TlGaNO2 (PBE, relaxed)
data_TlGaNO2
_chemical_formula_sum 'Tl1 Ga1 N1 O2'
_space_group_name_H-M_alt 'P 4/m m m'
_space_group_IT_number 123
_space_group_name_Hall '-P 4 2'
_cell_length_a 4.359
_cell_length_b 4.359
_cell_length_c 4.480
_cell_angle_alpha 90.00
_cell_angle_beta 90.00
_cell_angle_gamma 90.00
loop_
_atom_site_label
_atom_site_type_symbol
_atom_site_fract_x
_atom_site_fract_y
_atom_site_fract_z
_atom_site_occupancy
Tl1 Tl 0.000 0.000 0.000 1
Ga1 Ga 0.500 0.500 0.500 1
N1 N 0.000 0.000 0.500 1
O1 O 0.000 0.500 0.000 1
# formation energy (no corrections): 0.83 eV/atom
# DOS at the Fermi energy: 3.68 states/eV per cell
# total DFT energy (no corrections): -3.894 eV per atom